This record from Alexandria describes NdThOsAu after structural relaxation. The functional is GGA-PBE.

Summary:
ΔE_f: -0.330 eV/atom
D(E_F): 3.24 states/eV/cell

Cell lengths 5.1299, 5.1299, 5.1299 Å; angles 60.00, 60.00, 60.00 degrees
Last column: nearest neighbours and their distance in Å.
Fractional coordinates of all 4 atoms:
Os: 0.2500 0.2500 0.2500  4 Nd 3.14, 4 Th 3.14
Nd: 0.5000 0.5000 0.5000  4 Au 3.14, 4 Os 3.14
Au: 0.7500 0.7500 0.7500  4 Nd 3.14, 4 Th 3.14
Th: 0.0000 0.0000 0.0000  4 Os 3.14, 4 Au 3.14